Ni2Pt3: PBEsol geometry, SCAN.

- total magnetization (μB/f.u.) = 2.9
- VASP energy (eV/atom) = -48.707
- formation energy from the elements (eV/atom) = -0.122

a b c (Å): 4.604 4.621 7.013
angles (deg): 70.88 71.45 80.84
Last column: magnetic moment on the atom in μB.
Sites, in units of the cell vectors:
Ni 0.252 0.352 0.051  1.14
Ni 0.253 0.752 0.247  1.08
Pt 0.244 0.538 0.662  0.30
Pt 0.751 0.847 0.556  0.24
Pt 0.746 0.061 0.135  0.31
Ni 0.748 0.648 0.949  1.14
Ni 0.747 0.248 0.753  1.08
Pt 0.756 0.462 0.338  0.30
Pt 0.254 0.939 0.865  0.31
Pt 0.249 0.153 0.444  0.24